Version a
This record from the Alexandria database describes an optimized crystal structure of CdAgHPb2. The functional is PBE.

Cell: 5.8479 5.8479 3.4323 Å, 90.00 90.00 90.00°
With the nearest neighbours (Å) after each atom.
Space group P4/mmm (No. 123)
Symmetry-distinct sites (fractional):
Cd1 0.0000 0.0000 0.0000 (multiplicity 1)  8 Pb 3.39, 2 Cd 3.43
Ag1 0.5000 0.5000 0.5000 (multiplicity 1)  2 H 1.72
H1 0.5000 0.5000 0.0000 (multiplicity 1)  2 Ag 1.72
Pb1 0.0000 0.5000 0.5000 (multiplicity 2)  2 Ag 2.92

## Properties
spin magnetization = 0.00 μB per formula unit

Version b
This record from the Alexandria database describes an optimized crystal structure of CdAgHPb2. The functional is PBE.

Cell: 5.4972 5.4972 3.6759 Å, 90.00 90.00 90.00°
With the nearest neighbours (Å) after each atom.
Space group P4/mmm (No. 123)
Symmetry-distinct sites (fractional):
Cd1 0.0000 0.0000 0.0000 (multiplicity 1)  8 Pb 3.31, 2 Cd 3.68
Ag1 0.5000 0.5000 0.0000 (multiplicity 1)  2 H 1.84
H1 0.5000 0.5000 0.5000 (multiplicity 1)  2 Ag 1.84
Pb1 0.0000 0.5000 0.5000 (multiplicity 2)  2 H 2.75

## Properties
spin magnetization = 0.00 μB per formula unit

Order from most stable to least stable according to the calculation: version b, version a

Version a
This record from the Alexandria database describes an optimized crystal structure of Rb2CdAgH. The functional is PBE.

Cell: 6.4601 6.4601 3.8779 Å, 90.00 90.00 90.00°
With the nearest neighbours (Å) after each atom.
Space group P4/mmm (No. 123)
Symmetry-distinct sites (fractional):
Rb1 0.0000 0.5000 0.0000 (multiplicity 2)  2 H 3.23
Cd1 0.0000 0.0000 0.5000 (multiplicity 1)  8 Rb 3.77, 2 Cd 3.88
Ag1 0.5000 0.5000 0.5000 (multiplicity 1)  2 H 1.94
H1 0.5000 0.5000 0.0000 (multiplicity 1)  2 Ag 1.94

## Properties
spin magnetization = 0.00 μB per formula unit

Version b
This record from the Alexandria database describes an optimized crystal structure of Rb2CdAgH. The functional is PBE.

Cell: 5.7161 5.7161 4.8311 Å, 90.00 90.00 90.00°
With the nearest neighbours (Å) after each atom.
Space group P4/mmm (No. 123)
Symmetry-distinct sites (fractional):
Rb1 0.0000 0.5000 0.0000 (multiplicity 2)  2 H 2.86
Cd1 0.0000 0.0000 0.5000 (multiplicity 1)  2 H 2.42
Ag1 0.5000 0.5000 0.5000 (multiplicity 1)  8 Rb 3.74, 4 Cd 4.04
H1 0.0000 0.0000 0.0000 (multiplicity 1)  2 Cd 2.42

## Properties
spin magnetization = 0.00 μB per formula unit

Order from most stable to least stable according to the calculation: version a, version b

Version a
This record from the Alexandria database describes an optimized crystal structure of CdAgHRh2. The functional is PBE.

Cell: 3.9606 3.9606 4.3514 Å, 90.00 90.00 90.00°
With the nearest neighbours (Å) after each atom.
Space group P4/mmm (No. 123)
Symmetry-distinct sites (fractional):
Cd1 0.0000 0.0000 0.0000 (multiplicity 1)  2 H 2.18
Ag1 0.5000 0.5000 0.0000 (multiplicity 1)  4 Cd 2.80, 8 Rh 2.94
H1 0.0000 0.0000 0.5000 (multiplicity 1)  4 Rh 1.98, 2 Cd 2.18
Rh1 0.0000 0.5000 0.5000 (multiplicity 2)  2 H 1.98

## Properties
spin magnetization = 0.09 μB per formula unit

Version b
This record from the Alexandria database describes an optimized crystal structure of CdAgHRh2. The functional is PBE.

Cell: 4.0102 4.0102 4.2207 Å, 90.00 90.00 90.00°
With the nearest neighbours (Å) after each atom.
Space group P4/mmm (No. 123)
Symmetry-distinct sites (fractional):
Cd1 0.0000 0.0000 0.0000 (multiplicity 1)  4 Ag 2.84, 8 Rh 2.91
Ag1 0.5000 0.5000 0.0000 (multiplicity 1)  2 H 2.11
H1 0.5000 0.5000 0.5000 (multiplicity 1)  4 Rh 2.01, 2 Ag 2.11
Rh1 0.0000 0.5000 0.5000 (multiplicity 2)  2 H 2.01

## Properties
spin magnetization = 0.32 μB per formula unit

Order from most stable to least stable according to the calculation: version b, version a

Version a
This record from the Alexandria database describes an optimized crystal structure of Sc2CdAgH. The functional is PBE.

Cell: 4.4793 4.4793 4.2469 Å, 90.00 90.00 90.00°
With the nearest neighbours (Å) after each atom.
Space group P4/mmm (No. 123)
Symmetry-distinct sites (fractional):
Sc1 0.0000 0.5000 0.0000 (multiplicity 2)  2 H 2.24
Cd1 0.0000 0.0000 0.5000 (multiplicity 1)  8 Sc 3.09, 4 Ag 3.17
Ag1 0.5000 0.5000 0.5000 (multiplicity 1)  2 H 2.12
H1 0.5000 0.5000 0.0000 (multiplicity 1)  2 Ag 2.12, 4 Sc 2.24

## Properties
spin magnetization = 0.73 μB per formula unit

Version b
This record from the Alexandria database describes an optimized crystal structure of Sc2CdAgH. The functional is PBE.

Cell: 4.4364 4.4364 4.3453 Å, 90.00 90.00 90.00°
With the nearest neighbours (Å) after each atom.
Space group P4/mmm (No. 123)
Symmetry-distinct sites (fractional):
Sc1 0.0000 0.5000 0.0000 (multiplicity 2)  2 H 2.22
Cd1 0.0000 0.0000 0.5000 (multiplicity 1)  2 H 2.17
Ag1 0.5000 0.5000 0.5000 (multiplicity 1)  8 Sc 3.10, 4 Cd 3.14
H1 0.0000 0.0000 0.0000 (multiplicity 1)  2 Cd 2.17, 4 Sc 2.22

## Properties
spin magnetization = 1.17 μB per formula unit

Order from most stable to least stable according to the calculation: version a, version b

Version a
This record from the Alexandria database describes an optimized crystal structure of Ti2CdAgH. The functional is PBE.

Cell: 4.0814 4.0814 4.3862 Å, 90.00 90.00 90.00°
With the nearest neighbours (Å) after each atom.
Space group P4/mmm (No. 123)
Symmetry-distinct sites (fractional):
Ti1 0.0000 0.5000 0.0000 (multiplicity 2)  2 H 2.04
Cd1 0.0000 0.0000 0.5000 (multiplicity 1)  4 Ag 2.89, 8 Ti 3.00
Ag1 0.5000 0.5000 0.5000 (multiplicity 1)  2 H 2.19
H1 0.5000 0.5000 0.0000 (multiplicity 1)  4 Ti 2.04, 2 Ag 2.19

## Properties
spin magnetization = 0.00 μB per formula unit

Version b
This record from the Alexandria database describes an optimized crystal structure of Ti2CdAgH. The functional is PBE.

Cell: 3.9853 3.9853 4.6203 Å, 90.00 90.00 90.00°
With the nearest neighbours (Å) after each atom.
Space group P4/mmm (No. 123)
Symmetry-distinct sites (fractional):
Ti1 0.0000 0.5000 0.0000 (multiplicity 2)  2 H 1.99
Cd1 0.0000 0.0000 0.5000 (multiplicity 1)  2 H 2.31
Ag1 0.5000 0.5000 0.5000 (multiplicity 1)  4 Cd 2.82, 8 Ti 3.05
H1 0.0000 0.0000 0.0000 (multiplicity 1)  4 Ti 1.99

## Properties
spin magnetization = 0.01 μB per formula unit

Order from most stable to least stable according to the calculation: version a, version b

Version a
This record from the Alexandria database describes an optimized crystal structure of Y2CdAgH. The functional is PBE.

Cell: 4.9699 4.9699 4.1112 Å, 90.00 90.00 90.00°
With the nearest neighbours (Å) after each atom.
Space group P4/mmm (No. 123)
Symmetry-distinct sites (fractional):
Y1 0.0000 0.5000 0.0000 (multiplicity 2)  2 H 2.48
Cd1 0.0000 0.0000 0.5000 (multiplicity 1)  8 Y 3.22, 4 Ag 3.51
Ag1 0.5000 0.5000 0.5000 (multiplicity 1)  2 H 2.06
H1 0.5000 0.5000 0.0000 (multiplicity 1)  2 Ag 2.06

## Properties
spin magnetization = 0.49 μB per formula unit

Version b
This record from the Alexandria database describes an optimized crystal structure of Y2CdAgH. The functional is PBE.

Cell: 4.9043 4.9043 4.2287 Å, 90.00 90.00 90.00°
With the nearest neighbours (Å) after each atom.
Space group P4/mmm (No. 123)
Symmetry-distinct sites (fractional):
Y1 0.0000 0.5000 0.0000 (multiplicity 2)  2 H 2.45
Cd1 0.0000 0.0000 0.5000 (multiplicity 1)  2 H 2.11
Ag1 0.5000 0.5000 0.5000 (multiplicity 1)  8 Y 3.24, 4 Cd 3.47
H1 0.0000 0.0000 0.0000 (multiplicity 1)  2 Cd 2.11

## Properties
spin magnetization = 0.62 μB per formula unit

Order from most stable to least stable according to the calculation: version a, version b